--- 1 ---
The following is a DFT calculation (PBE-GGA) of an optimized crystal structure of AlHSCl2.

Unit cell a=5.2012 b=5.2012 c=3.2615 alpha=90.00 beta=90.00 gamma=90.00
With the nearest neighbours (Å) after each atom.
Space group P4/mmm (No. 123)
One atom of each set of equivalent atoms:
Al1 0.0000 0.0000 0.0000  8 Cl 3.07, 2 Al 3.26
H1 0.5000 0.5000 0.5000  2 S 1.63
S1 0.5000 0.5000 0.0000  2 H 1.63
Cl1 0.0000 0.5000 0.5000  2 H 2.60

## Properties
Theoretical density (g/cm³): 2.465

=====

--- 2 ---
The following is a DFT calculation (PBE-GGA) of an optimized crystal structure of AlHSCl2.

Unit cell a=4.7726 b=4.7726 c=4.6041 alpha=90.00 beta=90.00 gamma=90.00
With the nearest neighbours (Å) after each atom.
Space group P4/mmm (No. 123)
One atom of each set of equivalent atoms:
Al1 0.0000 0.0000 0.0000  2 S 2.30, 4 Cl 2.39
H1 0.5000 0.5000 0.5000  8 Cl 3.32, 4 S 3.37
S1 0.0000 0.0000 0.5000  2 Al 2.30
Cl1 0.0000 0.5000 0.0000  2 Al 2.39

## Properties
Theoretical density (g/cm³): 2.074

=====

What are the relative energies? In kJ/mol of atoms: 1 34.1; 2 0.0.

=====

--- 1 ---
The following is a DFT calculation (PBE-GGA) of an optimized crystal structure of HfAlCl3.

Unit cell a=4.9458 b=4.9458 c=4.9458 alpha=90.00 beta=90.00 gamma=90.00
With the nearest neighbours (Å) after each atom.
Space group Pm-3m (No. 221)
One atom of each set of equivalent atoms:
Hf1 0.0000 0.0000 0.0000  12 Cl 3.50
Al1 0.5000 0.5000 0.5000  6 Cl 2.47
Cl1 0.0000 0.5000 0.5000  2 Al 2.47

## Properties
Theoretical density (g/cm³): 4.280

=====

--- 2 ---
The following is a DFT calculation (PBE-GGA) of an optimized crystal structure of HfAlCl3.

Unit cell a=5.0164 b=5.0164 c=5.0164 alpha=90.00 beta=90.00 gamma=90.00
With the nearest neighbours (Å) after each atom.
Space group Pm-3m (No. 221)
One atom of each set of equivalent atoms:
Hf1 0.0000 0.0000 0.0000  6 Cl 2.51
Al1 0.5000 0.5000 0.5000  12 Cl 3.55
Cl1 0.0000 0.0000 0.5000  2 Hf 2.51

## Properties
Theoretical density (g/cm³): 4.102

=====

What are the relative energies? In kJ/mol of atoms: 1 72.1; 2 0.0.

=====

--- 1 ---
The following is a DFT calculation (PBE-GGA) of an optimized crystal structure of Hf2AlCl.

Unit cell a=4.1713 b=4.1713 c=19.8550 alpha=90.00 beta=90.00 gamma=90.00
With the nearest neighbours (Å) after each atom.
Space group I-42d (No. 122)
One atom of each set of equivalent atoms:
Hf1 0.2444 0.2500 0.1250  2 Al 2.88, 2 Cl 2.90, 4 Hf 2.92-2.98
Al1 0.0000 0.0000 0.0000  4 Hf 2.88, 4 Cl 2.95
Cl1 0.0000 0.0000 0.5000  4 Hf 2.90, 4 Al 2.95

## Properties
Theoretical density (g/cm³): 8.064

=====

--- 2 ---
The following is a DFT calculation (PBE-GGA) of an optimized crystal structure of Hf2AlCl.

Unit cell a=6.7748 b=6.7748 c=6.7748 alpha=90.00 beta=90.00 gamma=90.00
With the nearest neighbours (Å) after each atom.
Space group Fm-3m (No. 225)
One atom of each set of equivalent atoms:
Hf1 0.2500 0.2500 0.2500  4 Cl 2.93, 4 Al 2.93
Al1 0.0000 0.0000 0.0000  8 Hf 2.93
Cl1 0.0000 0.0000 0.5000  8 Hf 2.93

## Properties
Theoretical density (g/cm³): 8.959

=====

What are the relative energies? In kJ/mol of atoms: 1 28.6; 2 0.0.

=====

--- 1 ---
The following is a DFT calculation (PBE-GGA) of an optimized crystal structure of HfAl3Cl.

Unit cell a=5.4708 b=5.4708 c=5.4708 alpha=90.00 beta=90.00 gamma=90.00
With the nearest neighbours (Å) after each atom.
Space group Pm-3m (No. 221)
One atom of each set of equivalent atoms:
Hf1 0.0000 0.0000 0.0000  6 Al 2.74
Al1 0.0000 0.0000 0.5000  2 Hf 2.74
Cl1 0.5000 0.5000 0.5000  12 Al 3.87

## Properties
Theoretical density (g/cm³): 2.991

=====

--- 2 ---
The following is a DFT calculation (PBE-GGA) of an optimized crystal structure of HfAl3Cl.

Unit cell a=4.6743 b=4.6743 c=4.6743 alpha=90.00 beta=90.00 gamma=90.00
With the nearest neighbours (Å) after each atom.
Space group Pm-3m (No. 221)
One atom of each set of equivalent atoms:
Hf1 0.0000 0.0000 0.0000  12 Al 3.31
Al1 0.0000 0.5000 0.5000  2 Cl 2.34
Cl1 0.5000 0.5000 0.5000  6 Al 2.34

## Properties
Theoretical density (g/cm³): 4.795

=====

What are the relative energies? In kJ/mol of atoms: 1 36.0; 2 0.0.

=====

--- 1 ---
The following is a DFT calculation (PBE-GGA) of an optimized crystal structure of HfAlCl2.

Unit cell a=6.6433 b=6.6433 c=6.6433 alpha=90.00 beta=90.00 gamma=90.00
With the nearest neighbours (Å) after each atom.
Space group Fm-3m (No. 225)
One atom of each set of equivalent atoms:
Hf1 0.0000 0.0000 0.0000  8 Cl 2.88
Al1 0.0000 0.0000 0.5000  8 Cl 2.88
Cl1 0.2500 0.2500 0.2500  4 Hf 2.88, 4 Al 2.88

## Properties
Theoretical density (g/cm³): 6.261

=====

--- 2 ---
The following is a DFT calculation (PBE-GGA) of an optimized crystal structure of HfAlCl2.

Unit cell a=4.3111 b=4.3111 c=17.8882 alpha=90.00 beta=90.00 gamma=90.00
With the nearest neighbours (Å) after each atom.
Space group I-42d (No. 122)
One atom of each set of equivalent atoms:
Hf1 0.0000 0.0000 0.0000  4 Cl 2.68
Al1 0.0000 0.0000 0.5000  4 Cl 2.73, 4 Hf 3.05
Cl1 0.2344 0.2500 0.1250  2 Hf 2.68, 2 Al 2.73, 2 Cl 2.95

## Properties
Theoretical density (g/cm³): 5.522

=====

What are the relative energies? In kJ/mol of atoms: 1 32.6; 2 0.0.

=====

--- 1 ---
The following is a DFT calculation (PBE-GGA) of an optimized crystal structure of HfAlSCl2.

Unit cell a=4.6204 b=4.6204 c=4.8097 alpha=90.00 beta=90.00 gamma=90.00
With the nearest neighbours (Å) after each atom.
Space group P4/mmm (No. 123)
One atom of each set of equivalent atoms:
Hf1 0.0000 0.0000 0.0000  4 S 3.27, 8 Cl 3.33
Al1 0.5000 0.5000 0.5000  4 Cl 2.31, 2 S 2.40
S1 0.5000 0.5000 0.0000  2 Al 2.40
Cl1 0.0000 0.5000 0.5000  2 Al 2.31

## Properties
Theoretical density (g/cm³): 4.988

=====

--- 2 ---
The following is a DFT calculation (PBE-GGA) of an optimized crystal structure of HfAlSCl2.

Unit cell a=5.0055 b=5.0055 c=4.9642 alpha=90.00 beta=90.00 gamma=90.00
With the nearest neighbours (Å) after each atom.
Space group P4/mmm (No. 123)
One atom of each set of equivalent atoms:
Hf1 0.0000 0.0000 0.0000  2 S 2.48, 4 Cl 2.50
Al1 0.5000 0.5000 0.5000  8 Cl 3.52, 4 S 3.54
S1 0.0000 0.0000 0.5000  2 Hf 2.48
Cl1 0.0000 0.5000 0.0000  2 Hf 2.50

## Properties
Theoretical density (g/cm³): 4.118

=====

What are the relative energies? In kJ/mol of atoms: 1 67.5; 2 0.0.